(1)
Compound: TaPRh3
Source: Alexandria via LeMat-Bulk
Functional: PBE-GGA
Structure: optimized geometry

Cell and atoms, written as POSCAR:
```
TaPRh3
1.0
4.3621 0.0000 0.0000
0.0000 4.3621 0.0000
0.0000 0.0000 4.3621
P Rh Ta
1 3 1
Cartesian
0.0000 0.0000 0.0000
0.0000 2.1810 0.0000
0.0000 0.0000 2.1810
2.1810 0.0000 0.0000
2.1810 2.1810 2.1810
```

Properties
ΔH_f (0 K) in eV/atom: 0.184
Calculated volume in Å³ per cell: 83.0
Raw total energy in eV per atom: -7.679
Polymorph energy (0 for the lowest one) in meV per atom: 0
Size of the total moment in Bohr magnetons per cell: 2.5
SG: Pm-3m (221)

***

(2)
Compound: Ta2PRh
Source: Alexandria via LeMat-Bulk
Functional: PBE-GGA
Structure: optimized geometry

Cell and atoms, written as POSCAR:
```
Ta2PRh
1.0
2.7988 -3.5636 0.0000
2.7988 3.5636 0.0000
0.0000 0.0000 3.1474
Ta P Rh
2 1 1
Cartesian
1.3994 -1.7818 0.0000
1.3994 1.7818 0.0000
0.0000 0.0000 1.5737
2.7988 0.0000 1.5737
```

Properties
ΔH_f (0 K) in eV/atom: -0.346
Calculated volume in Å³ per cell: 62.8
Raw total energy in eV per atom: -9.462
Size of the total moment in Bohr magnetons per cell: 0.0
SG: Cmmm (65)

***

(3)
Compound: Ta2PRh
Source: Alexandria via LeMat-Bulk
Functional: PBE-GGA
Structure: optimized geometry

Cell and atoms, written as POSCAR:
```
Ta2PRh
1.0
2.8693 0.0000 0.0000
0.0000 2.8693 0.0000
0.0000 0.0000 7.6046
Ta P Rh
2 1 1
Cartesian
0.0000 0.0000 7.5052
1.4347 1.4347 2.1811
0.0000 0.0000 3.9601
1.4347 1.4347 5.3651
```

Properties
ΔH_f (0 K) in eV/atom: -0.279
Calculated volume in Å³ per cell: 62.6
Raw total energy in eV per atom: -9.396
Size of the total moment in Bohr magnetons per cell: 0.0
SG: P4mm (99)